# 1
A plane-wave DFT calculation with PBE-GGA was carried out for a relaxed structure of La2Zn3Cu12Si.

Computed properties:
* spin magnetization: 0.0000 μB/atom
* calculated volume: 16.58 Å³ per atom
* uncorrected formation energy: 0.059 eV per atom
* energy: -3.732 eV per atom

CIF file:
```
data_La2Zn3Cu12Si
_chemical_formula_sum 'La6 Zn9 Cu36 Si3'
_cell_length_a 6.2874
_cell_length_b 6.2874
_cell_length_c 26.1476
_cell_angle_alpha 90.00
_cell_angle_beta 90.00
_cell_angle_gamma 120.00
_symmetry_space_group_name_H-M 'R -3 m'
_symmetry_Int_Tables_number 166
_symmetry_space_group_name_Hall '-R 3 2"'
loop_
_atom_site_label
_atom_site_type_symbol
_atom_site_fract_x
_atom_site_fract_y
_atom_site_fract_z
La1 La 0.0000 0.0000 0.1538
Zn1 Zn 0.0000 0.5000 0.0000
Cu1 Cu 0.0562 0.5281 0.0958
Cu2 Cu 0.0752 0.5376 0.6173
Si1 Si 0.0000 0.0000 0.5000
```

# 2
A plane-wave DFT calculation with PBE-GGA was carried out for a relaxed structure of Er2ScSbC.

Computed properties:
* spin magnetization: 0.0000 μB/atom
* calculated volume: 21.16 Å³ per atom
* uncorrected formation energy: -0.675 eV per atom
* energy: -6.436 eV per atom

CIF file:
```
data_Er2ScSbC
_chemical_formula_sum 'Er2 Sc1 Sb1 C1'
_cell_length_a 4.8253
_cell_length_b 4.8253
_cell_length_c 4.5430
_cell_angle_alpha 90.00
_cell_angle_beta 90.00
_cell_angle_gamma 90.00
_symmetry_space_group_name_H-M 'P 4/m m m'
_symmetry_Int_Tables_number 123
_symmetry_space_group_name_Hall '-P 4 2'
loop_
_atom_site_label
_atom_site_type_symbol
_atom_site_fract_x
_atom_site_fract_y
_atom_site_fract_z
Er1 Er 0.0000 0.5000 0.0000
Sc1 Sc 0.0000 0.0000 0.5000
Sb1 Sb 0.5000 0.5000 0.5000
C1 C 0.0000 0.0000 0.0000
```

# 3
A plane-wave DFT calculation with PBE-GGA was carried out for a relaxed structure of Cu3Ni.

Computed properties:
* spin magnetization: 0.0000 μB/atom
* calculated volume: 11.88 Å³ per atom
* energy: -4.401 eV per atom
* calculated formation energy: 0.12 eV/atom

CIF file:
```
data_Cu3Ni
_chemical_formula_sum 'Cu6 Ni2'
_cell_length_a 4.5636
_cell_length_b 4.5636
_cell_length_c 4.5636
_cell_angle_alpha 90.00
_cell_angle_beta 90.00
_cell_angle_gamma 90.00
_symmetry_space_group_name_H-M 'P m -3 n'
_symmetry_Int_Tables_number 223
_symmetry_space_group_name_Hall '-P 4n 2 3'
loop_
_atom_site_label
_atom_site_type_symbol
_atom_site_fract_x
_atom_site_fract_y
_atom_site_fract_z
Cu1 Cu 0.0000 0.2500 0.5000
Ni1 Ni 0.0000 0.0000 0.0000
```